No. 1
AlCu2Ni2 | GGA-PBEsol | relaxed

Results
Space group   C2/c
DFT formation energy   -0.254 eV/atom
Density of states at the Fermi level   0.56 states/eV/atom
Total magnetization   0.000 μB per atom

a b c (Å): 4.8422 4.8422 6.4894
angles (deg): 108.97 108.97 52.34
Fractional coordinates of all 10 atoms:
Al 0.1779 0.8221 0.7500
Al 0.8221 0.1779 0.2500
Cu 0.0246 0.3764 0.6526
Cu 0.3764 0.0246 0.1526
Cu 0.6236 0.9754 0.8474
Cu 0.9754 0.6236 0.3474
Ni 0.2246 0.5764 0.0487
Ni 0.4236 0.7754 0.4513
Ni 0.5764 0.2246 0.5487
Ni 0.7754 0.4236 0.9513

=====

No. 2
NaYBiF2 | GGA-PBEsol | relaxed

Results
Formation energy from raw total energies   -1944 meV/atom
Space group   P4/mmm
Density of states at the Fermi level   0.33 states/eV/atom
Total magnetization   0.000 μB per atom

a b c (Å): 4.2551 4.2551 7.1199
angles (deg): 90.00 90.00 90.00
Fractional coordinates of all 5 atoms:
Na 0.0000 0.0000 0.0000
Y 0.0000 0.0000 0.5000
Bi 0.5000 0.5000 0.0000
F 0.0000 0.5000 0.5000
F 0.5000 0.0000 0.5000

=====

No. 3
Hf6Si7Ni16 | GGA-PBEsol | relaxed

Results
Formation energy from raw total energies   -851 meV/atom
Space group   Fm-3m
Density of states at the Fermi level   0.56 states/eV/atom
Total magnetization   0.000 μB per atom

a b c (Å): 7.9760 7.9760 7.9760
angles (deg): 60.00 60.00 60.00
Fractional coordinates of all 29 atoms:
Hf 0.2056 0.2056 0.7944
Hf 0.2056 0.7944 0.2056
Hf 0.2056 0.7944 0.7944
Hf 0.7944 0.2056 0.2056
Hf 0.7944 0.2056 0.7944
Hf 0.7944 0.7944 0.2056
Si 0.0000 0.0000 0.5000
Si 0.0000 0.5000 0.0000
Si 0.0000 0.5000 0.5000
Si 0.5000 0.0000 0.0000
Si 0.5000 0.0000 0.5000
Si 0.5000 0.5000 0.0000
Si 0.5000 0.5000 0.5000
Ni 0.1457 0.6181 0.6181
Ni 0.1685 0.1685 0.1685
Ni 0.1685 0.1685 0.4946
Ni 0.1685 0.4946 0.1685
Ni 0.3819 0.3819 0.3819
Ni 0.3819 0.3819 0.8543
Ni 0.3819 0.8543 0.3819
Ni 0.4946 0.1685 0.1685
Ni 0.5054 0.8315 0.8315
Ni 0.6181 0.1457 0.6181
Ni 0.6181 0.6181 0.1457
Ni 0.6181 0.6181 0.6181
Ni 0.8315 0.5054 0.8315
Ni 0.8315 0.8315 0.5054
Ni 0.8315 0.8315 0.8315
Ni 0.8543 0.3819 0.3819